Entry 1:
Pr6Ho3Mg | PBE | optimized geometry

Calculated values
Formation energy in eV/atom: 0.191

Geometry as POSCAR:
```
Pr6Ho3Mg
1.0
3.610 0.000 0.000
0.000 8.977 0.000
-3.521 0.000 21.586
Pr Ho Mg
12 6 2
direct
0.092 0.206 0.091
0.092 0.294 0.591
0.126 0.658 0.626
0.126 0.842 0.126
0.352 0.503 0.851
0.352 0.997 0.351
0.648 0.003 0.649
0.648 0.497 0.149
0.874 0.158 0.874
0.874 0.342 0.374
0.908 0.706 0.409
0.908 0.794 0.909
0.000 0.000 0.500
0.000 0.500 0.000
0.277 0.635 0.276
0.277 0.865 0.776
0.723 0.135 0.224
0.723 0.365 0.724
0.500 0.000 0.000
0.500 0.500 0.500
```

Entry 2:
Pr12Ho6Mg | PBE | optimized geometry

Calculated values
Formation energy in eV/atom: 0.131
ΔE to the lowest computed polymorph in kJ per mole of atoms: 1.4

Geometry as POSCAR:
```
Pr12Ho6Mg
1.0
6.641 3.834 4.345
-6.641 3.834 4.345
0.000 -7.668 4.345
Pr Ho Mg
12 6 1
direct
0.000 0.260 0.740
0.000 0.740 0.260
0.169 0.582 0.582
0.260 0.000 0.740
0.260 0.740 0.000
0.418 0.418 0.831
0.418 0.831 0.418
0.582 0.169 0.582
0.582 0.582 0.169
0.740 0.000 0.260
0.740 0.260 0.000
0.831 0.418 0.418
0.138 0.138 0.406
0.138 0.406 0.138
0.406 0.138 0.138
0.594 0.862 0.862
0.862 0.594 0.862
0.862 0.862 0.594
0.000 0.000 0.000
```

Entry 3:
Pr2HoMg | PBE | optimized geometry

Calculated values
Formation energy in eV/atom: 0.180
ΔE to the lowest computed polymorph in kJ per mole of atoms: 20.4

Geometry as POSCAR:
```
Pr2HoMg
1.0
3.522 0.000 0.000
-1.761 3.050 0.000
0.000 0.000 37.674
Pr Ho Mg
6 3 3
direct
0.000 0.000 0.089
0.000 0.000 0.911
0.333 0.667 0.577
0.333 0.667 0.756
0.667 0.333 0.244
0.667 0.333 0.423
0.000 0.000 0.500
0.333 0.667 0.167
0.667 0.333 0.833
0.000 0.000 0.000
0.333 0.667 0.667
0.667 0.333 0.333
```

Entry 4:
Pr15Ho2Mg2 | PBE | optimized geometry

Calculated values
Formation energy in eV/atom: 0.225

Geometry as POSCAR:
```
Pr15Ho2Mg2
1.0
5.685 3.282 5.996
-5.685 3.282 5.996
0.000 -6.565 5.996
Pr Ho Mg
15 2 2
direct
0.000 0.000 0.500
0.000 0.296 0.704
0.000 0.500 0.000
0.000 0.704 0.296
0.160 0.627 0.627
0.296 0.000 0.704
0.296 0.704 0.000
0.373 0.373 0.840
0.373 0.840 0.373
0.500 0.000 0.000
0.627 0.160 0.627
0.627 0.627 0.160
0.704 0.000 0.296
0.704 0.296 0.000
0.840 0.373 0.373
0.310 0.310 0.310
0.690 0.690 0.690
0.092 0.092 0.092
0.908 0.908 0.908
```

Entry 5:
Pr3Ho6Mg | PBE | optimized geometry

Calculated values
Formation energy in eV/atom: 0.194
ΔE to the lowest computed polymorph in kJ per mole of atoms: 15.8

Geometry as POSCAR:
```
Pr3Ho6Mg
1.0
5.678 -6.264 0.000
5.678 6.264 0.000
0.000 0.000 9.368
Pr Ho Mg
6 12 2
direct
0.140 0.860 0.500
0.189 0.430 0.640
0.430 0.189 0.140
0.570 0.811 0.640
0.811 0.570 0.140
0.860 0.140 0.000
0.110 0.234 0.331
0.181 0.461 0.035
0.234 0.110 0.831
0.254 0.746 0.832
0.450 0.550 0.337
0.461 0.181 0.535
0.539 0.819 0.035
0.550 0.450 0.837
0.746 0.254 0.332
0.766 0.890 0.331
0.819 0.539 0.535
0.890 0.766 0.831
0.125 0.875 0.128
0.875 0.125 0.628
```

Entry 6:
Pr4Ho15Mg | PBE | optimized geometry

Calculated values
Formation energy in eV/atom: 0.026

Geometry as POSCAR:
```
Pr4Ho15Mg
1.0
5.028 0.000 0.000
0.000 5.028 0.000
0.000 0.000 25.040
Pr Ho Mg
4 15 1
direct
0.000 0.000 0.101
0.000 0.000 0.303
0.000 0.000 0.697
0.000 0.000 0.899
0.000 0.500 0.000
0.000 0.500 0.202
0.000 0.500 0.404
0.000 0.500 0.596
0.000 0.500 0.798
0.500 0.000 0.000
0.500 0.000 0.202
0.500 0.000 0.404
0.500 0.000 0.596
0.500 0.000 0.798
0.500 0.500 0.101
0.500 0.500 0.305
0.500 0.500 0.500
0.500 0.500 0.695
0.500 0.500 0.899
0.000 0.000 0.500
```

Entry 7:
Pr7Ho2Mg2 | PBE | optimized geometry

Calculated values
Formation energy in eV/atom: 0.062
ΔE to the lowest computed polymorph in kJ per mole of atoms: 0.0

Geometry as POSCAR:
```
Pr7Ho2Mg2
1.0
4.580 -4.713 0.000
4.580 4.713 0.000
-1.807 0.000 8.527
Pr Ho Mg
7 2 2
direct
0.000 0.000 0.000
0.076 0.450 0.787
0.155 0.155 0.419
0.450 0.076 0.787
0.550 0.924 0.213
0.845 0.845 0.581
0.924 0.550 0.213
0.400 0.400 0.146
0.600 0.600 0.854
0.332 0.668 0.500
0.668 0.332 0.500
```

Entry 8:
Pr5HoMg4 | PBE | optimized geometry

Calculated values
Formation energy in eV/atom: -0.079

Geometry as POSCAR:
```
Pr5HoMg4
1.0
3.859 0.000 0.000
0.000 3.859 0.000
0.000 0.000 20.677
Pr Ho Mg
5 1 4
direct
0.000 0.000 0.000
0.000 0.000 0.192
0.000 0.000 0.385
0.000 0.000 0.615
0.000 0.000 0.808
0.500 0.500 0.500
0.500 0.500 0.096
0.500 0.500 0.289
0.500 0.500 0.711
0.500 0.500 0.904
```

no.,total magnetization (μB/atom)
1,0.00
2,0.00
3,0.00
4,0.00
5,0.00
6,0.00
7,0.00
8,0.00